1.
This record from OQMD via LeMat-Bulk describes a relaxed structure of Cd3B2O6. The functional is PBE.

Cell lengths 5.9791, 4.7991, 9.0399 Å; angles 90.00, 90.00, 90.00 degrees
With the nearest neighbours (Å) after each atom.
Fractional coordinates of all 22 atoms:
1 B 0.7387 0.4644 0.0000  3 O 1.38-1.40
2 B 0.2613 0.5356 0.0000  3 O 1.38-1.40
3 B 0.2387 0.0356 0.5000  3 O 1.38-1.40
4 B 0.7613 0.9644 0.5000  3 O 1.38-1.40
5 Cd 0.0000 0.0000 0.0000  6 O 2.30-2.34
6 Cd 0.5000 0.0000 0.1896  6 O 2.25-2.37
7 Cd 0.0000 0.5000 0.3104  6 O 2.25-2.37
8 Cd 0.5000 0.5000 0.5000  6 O 2.30-2.34
9 Cd 0.0000 0.5000 0.6896  6 O 2.25-2.37
10 Cd 0.5000 0.0000 0.8104  6 O 2.25-2.37
11 O 0.3227 0.2590 0.0000  1 B 1.38
12 O 0.6773 0.7410 0.0000  1 B 1.38
13 O 0.7814 0.3196 0.1312  1 B 1.40
14 O 0.2186 0.6804 0.1312  1 B 1.40
15 O 0.2814 0.1804 0.3688  1 B 1.40
16 O 0.7186 0.8196 0.3688  1 B 1.40
17 O 0.8227 0.2410 0.5000  1 B 1.38
18 O 0.1773 0.7590 0.5000  1 B 1.38
19 O 0.2814 0.1804 0.6312  1 B 1.40
20 O 0.7186 0.8196 0.6312  1 B 1.40
21 O 0.7814 0.3196 0.8688  1 B 1.40
22 O 0.2186 0.6804 0.8688  1 B 1.40

Calculated values
The total energy comes out at -129.12 eV for the cell shown. As for the space group: Pnnm (58).


2.
This record from OQMD via LeMat-Bulk describes a relaxed structure of CdB4O7. The functional is PBE.

Cell lengths 10.6162, 4.3608, 4.1763 Å; angles 90.00, 90.00, 90.00 degrees
With the nearest neighbours (Å) after each atom.
Fractional coordinates of all 24 atoms:
1 B 0.3800 0.8277 0.1358  4 O 1.44-1.54
2 B 0.6200 0.8277 0.1358  4 O 1.44-1.54
3 B 0.2494 0.3246 0.1566  4 O 1.43-1.53
4 B 0.7506 0.3246 0.1566  4 O 1.43-1.53
5 B 0.1200 0.1723 0.6358  4 O 1.44-1.54
6 B 0.8800 0.1723 0.6358  4 O 1.44-1.54
7 B 0.2506 0.6754 0.6566  4 O 1.43-1.53
8 B 0.7494 0.6754 0.6566  4 O 1.43-1.53
9 Cd 0.0000 0.6793 0.1270  5 O 2.35-2.53
10 Cd 0.5000 0.3207 0.6270  5 O 2.35-2.53
11 O 0.3629 0.1502 0.2139  2 B 1.45
12 O 0.6371 0.1502 0.2139  2 B 1.45
13 O 0.5000 0.7179 0.2459  2 B 1.44
14 O 0.1331 0.2242 0.2935  2 B 1.43-1.45
15 O 0.8669 0.2242 0.2935  2 B 1.43-1.45
16 O 0.2750 0.6394 0.2977  3 B 1.52-1.54
17 O 0.7250 0.6394 0.2977  3 B 1.52-1.54
18 O 0.1371 0.8498 0.7139  2 B 1.45
19 O 0.8629 0.8498 0.7139  2 B 1.45
20 O 0.0000 0.2821 0.7459  2 B 1.44
21 O 0.3669 0.7758 0.7934  2 B 1.43-1.45
22 O 0.6331 0.7758 0.7934  2 B 1.43-1.45
23 O 0.2250 0.3606 0.7977  3 B 1.52-1.54
24 O 0.7750 0.3606 0.7977  3 B 1.52-1.54

Calculated values
The total energy comes out at -176.58 eV for the cell shown. For the energy above the most stable polymorph in this dataset, the calculation gives 69.2 meV/atom. As for the space group: Pmn2_1 (31).


3.
This record from OQMD via LeMat-Bulk describes a relaxed structure of CdBPO. The functional is PBE.

Cell lengths 3.7730, 3.7730, 8.2436 Å; angles 90.00, 90.00, 90.00 degrees
With the nearest neighbours (Å) after each atom.
Fractional coordinates of all 8 atoms:
1 B 0.5000 0.0000 0.0599  1 P 1.92, 4 O 1.95
2 B 0.0000 0.5000 0.9401  1 P 1.92, 4 O 1.95
3 Cd 0.0000 0.0000 0.5000  4 P 2.55, 4 Cd 2.67
4 Cd 0.5000 0.5000 0.5000  4 P 2.55, 4 Cd 2.67
5 O 0.0000 0.0000 0.0000  4 B 1.95
6 O 0.5000 0.5000 0.0000  4 B 1.95
7 P 0.5000 0.0000 0.2926  1 B 1.92
8 P 0.0000 0.5000 0.7074  1 B 1.92

Calculated values
The total energy comes out at -33.17 eV for the cell shown. For the energy above the most stable polymorph in this dataset, the calculation gives 1115.6 meV/atom. As for the space group: P4/nmm (129).